! GGA-PBEsol AlNi3H, optimized geometry; values from VASP
&SYSTEM
  ibrav = 0, nat = 5, ntyp = 3
/
ATOMIC_SPECIES
Al 26.98 Al.upf
Ni 58.69 Ni.upf
H 1.01 H.upf
CELL_PARAMETERS angstrom
3.568 0.000 0.000
0.000 3.568 0.000
0.000 0.000 3.568
ATOMIC_POSITIONS crystal
Al 0.000 0.000 0.000
Ni 0.000 0.500 0.500
Ni 0.500 0.000 0.500
Ni 0.500 0.500 0.000
H 0.500 0.500 0.500
! Calculated density   7.5 g/cm3
! Electronic total energy   -28.20 eV per cell
! Magnetic moment   0.00 μB per cell